[1]
KBi3H: relaxed, PBE-GGA.

Lattice parameters (Å, degrees): 5.110 5.110 5.110 90.00 90.00 90.00
Positions (direct):
K: 0.000 0.000 0.000
Bi: 0.000 0.500 0.500
Bi: 0.500 0.000 0.500
Bi: 0.500 0.500 0.000
H: 0.500 0.500 0.500

As for the polymorph energy (0 for the lowest one): 0.000 eV/atom. Its volume is 26.68 Å³/atom. Its total moment is 0.00 μB/f.u. As for the uncorrected energy: -3.12 eV per atom.

---

[2]
K2Bi2H: relaxed, PBE-GGA.

Lattice parameters (Å, degrees): 4.431 4.431 19.392 90.00 90.00 90.00
Positions (direct):
K: 0.000 0.000 0.091
K: 0.000 0.000 0.909
K: 0.500 0.500 0.409
K: 0.500 0.500 0.591
Bi: 0.000 0.500 0.250
Bi: 0.000 0.500 0.750
Bi: 0.500 0.000 0.250
Bi: 0.500 0.000 0.750
H: 0.000 0.000 0.500
H: 0.500 0.500 0.000

As for the polymorph energy (0 for the lowest one): 0.000 eV/atom. Its volume is 38.07 Å³/atom. Its total moment is 0.00 μB/f.u. As for the uncorrected energy: -2.71 eV per atom.

---

[3]
K2LiBiH: relaxed, PBE-GGA.

Lattice parameters (Å, degrees): 6.099 6.099 3.839 90.00 90.00 90.00
Positions (direct):
K: 0.000 0.500 0.000
K: 0.500 0.000 0.000
Li: 0.000 0.000 0.500
Bi: 0.500 0.500 0.500
H: 0.000 0.000 0.000

Its volume is 28.56 Å³/atom. Its total moment is 0.00 μB/f.u. As for the uncorrected energy: -2.51 eV per atom.

---

[4]
K2Mg5Bi3H2: relaxed, PBE-GGA.

Lattice parameters (Å, degrees): 14.222 14.222 14.222 161.15 161.15 26.78
Positions (direct):
K: 0.203 0.203 0.000
K: 0.797 0.797 0.000
Mg: 0.000 0.000 0.000
Mg: 0.088 0.588 0.500
Mg: 0.412 0.912 0.500
Mg: 0.588 0.088 0.500
Mg: 0.912 0.412 0.500
Bi: 0.344 0.344 0.000
Bi: 0.500 0.500 0.000
Bi: 0.656 0.656 0.000
H: 0.074 0.074 0.000
H: 0.926 0.926 0.000

Its volume is 25.01 Å³/atom. Its total moment is 0.00 μB/f.u. As for the uncorrected energy: -2.61 eV per atom.

---

[5]
KMnBi2H: relaxed, PBE-GGA.

Lattice parameters (Å, degrees): 6.025 6.025 4.820 90.00 90.00 90.00
Positions (direct):
K: 0.000 0.000 0.000
Mn: 0.000 0.000 0.500
Bi: 0.000 0.500 0.000
Bi: 0.500 0.000 0.000
H: 0.500 0.500 0.500

Its volume is 35.00 Å³/atom. Its total moment is 0.11 μB/f.u. As for the uncorrected energy: -1.95 eV per atom.

---

[6]
K2BiHN: relaxed, PBE-GGA.

Lattice parameters (Å, degrees): 5.860 5.860 4.273 90.00 90.00 90.00
Positions (direct):
K: 0.000 0.500 0.000
K: 0.500 0.000 0.000
Bi: 0.000 0.000 0.500
H: 0.000 0.000 0.000
N: 0.500 0.500 0.500

Its volume is 29.34 Å³/atom. Its total moment is 2.37 μB/f.u. As for the uncorrected energy: -2.84 eV per atom.

---

[7]
K2RbBiH: relaxed, PBE-GGA.

Lattice parameters (Å, degrees): 5.560 5.560 5.765 90.00 90.00 90.00
Positions (direct):
K: 0.000 0.500 0.000
K: 0.500 0.000 0.000
Rb: 0.000 0.000 0.500
Bi: 0.500 0.500 0.500
H: 0.000 0.000 0.000

Its volume is 35.65 Å³/atom. Its total moment is 1.00 μB/f.u. As for the uncorrected energy: -2.30 eV per atom.

---

[8]
KReBiH2: relaxed, PBE-GGA.

Lattice parameters (Å, degrees): 4.148 4.148 7.780 90.00 90.00 90.00
Positions (direct):
K: 0.000 0.000 0.000
Re: 0.500 0.500 0.500
Bi: 0.000 0.000 0.500
H: 0.000 0.500 0.000
H: 0.500 0.000 0.000

Its volume is 26.78 Å³/atom. Its total moment is 4.11 μB/f.u. As for the uncorrected energy: -3.21 eV per atom.

---

[9]
KBiSbH2: relaxed, PBE-GGA.

Lattice parameters (Å, degrees): 4.542 4.542 7.278 90.00 90.00 90.00
Positions (direct):
K: 0.000 0.000 0.000
Bi: 0.000 0.000 0.500
Sb: 0.500 0.500 0.000
H: 0.000 0.500 0.500
H: 0.500 0.000 0.500

Its volume is 30.02 Å³/atom. Its total moment is 2.60 μB/f.u. As for the uncorrected energy: -2.48 eV per atom.

---

[10]
K2BiSbH: relaxed, PBE-GGA.

Lattice parameters (Å, degrees): 5.207 5.207 5.061 90.00 90.00 90.00
Positions (direct):
K: 0.000 0.500 0.000
K: 0.500 0.000 0.000
Bi: 0.000 0.000 0.500
Sb: 0.500 0.500 0.500
H: 0.000 0.000 0.000

Its volume is 27.45 Å³/atom. Its total moment is 0.00 μB/f.u. As for the uncorrected energy: -2.82 eV per atom.

---

[11]
KBiHSe2: relaxed, PBE-GGA.

Lattice parameters (Å, degrees): 7.347 4.333 9.317 90.00 112.23 90.00
Positions (direct):
K: 0.000 0.207 0.250
K: 0.000 0.793 0.750
Bi: 0.500 0.128 0.750
Bi: 0.500 0.872 0.250
H: 0.500 0.500 0.000
H: 0.500 0.500 0.500
Se: 0.295 0.309 0.022
Se: 0.295 0.691 0.522
Se: 0.705 0.309 0.478
Se: 0.705 0.691 0.978

Its volume is 27.45 Å³/atom. Its total moment is 0.00 μB/f.u. As for the uncorrected energy: -3.45 eV per atom.

---

[12]
KSnBi2H: relaxed, PBE-GGA.

Lattice parameters (Å, degrees): 6.417 6.417 3.823 90.00 90.00 90.00
Positions (direct):
K: 0.000 0.000 0.000
Sn: 0.500 0.500 0.500
Bi: 0.000 0.500 0.000
Bi: 0.500 0.000 0.000
H: 0.000 0.000 0.500

Its volume is 31.48 Å³/atom. Its total moment is 0.34 μB/f.u. As for the uncorrected energy: -2.43 eV per atom.